DFT (GGA-PBE) results for a geometry-optimized CsHBr2 structure.

Cell lengths 8.0262, 8.0262, 8.0262 Å; angles 30.55, 30.55, 30.55 degrees
Last column: nearest neighbours and their distance in Å.
Fractional positions:
Cs: 0.0000 0.0000 0.0000  6 Br 3.52
H: 0.5000 0.5000 0.5000  6 Br 2.76
Br: 0.2230 0.2230 0.2230  3 H 2.76
Br: 0.7770 0.7770 0.7770  3 H 2.76

Properties
**D(E_F)**: 0.0 states/eV/cell
**Offset from the most stable computed form**: 0.8629 eV/atom
**Symmetry**: R-3m (166)
**Crystal system**: trigonal